This record from Alexandria via LeMat-Bulk describes a geometry-optimized SrMo2Cl structure. The functional is PBE-GGA.

formation energy from raw total energies	419	kJ/mol of formula units
ΔE to the lowest computed polymorph	1.153	eV per atom
magnetization	0.00	Bohr magnetons per cell

Unit cell a=2.891 b=2.891 c=9.357 alpha=90.00 beta=90.00 gamma=90.00
Space group P4/mmm (No. 123)
Asymmetric unit:
Sr1 0.000 0.000 0.000 x1
Mo1 0.500 0.500 0.294 x2
Cl1 0.000 0.000 0.500 x1